VASP calculation (PBE-GGA) on a geometry-optimized TmBe9Fe2 structure.

## Properties
DOS(E_F) in states/eV/cell: 3.5
Magnetization in μB per cell: 3.39
E_tot in eV/atom: -4.75

```
data_TmBe9Fe2
_cell_length_a 7.4486
_cell_length_b 7.4486
_cell_length_c 7.4486
_cell_angle_alpha 34.20
_cell_angle_beta 34.20
_cell_angle_gamma 34.20
_space_group_name_H-M_alt 'P 1'
_space_group_IT_number 1
loop_
_space_group_symop_operation_xyz
'x,y,z'
loop_
_atom_site_label
_atom_site_type_symbol
_atom_site_fract_x
_atom_site_fract_y
_atom_site_fract_z
Tm1 Tm 0.0000 0.0000 0.0000
Be1 Be 0.0835 0.5916 0.5916
Be2 Be 0.3333 0.3333 0.3333
Be3 Be 0.4084 0.4084 0.9165
Be4 Be 0.4084 0.9165 0.4084
Be5 Be 0.5000 0.5000 0.5000
Be6 Be 0.5916 0.0835 0.5916
Be7 Be 0.5916 0.5916 0.0835
Be8 Be 0.6667 0.6667 0.6667
Be9 Be 0.9165 0.4084 0.4084
Fe1 Fe 0.1456 0.1456 0.1456
Fe2 Fe 0.8544 0.8544 0.8544
```

---

VASP calculation (PBE-GGA) on a geometry-optimized TmBe2Fe3 structure.

## Properties
DOS(E_F) in states/eV/cell: 4.6
Magnetization in μB per cell: 4.67
E_tot in eV/atom: -6.39

```
data_TmBe2Fe3
_cell_length_a 4.9140
_cell_length_b 4.9140
_cell_length_c 3.5989
_cell_angle_alpha 90.00
_cell_angle_beta 90.00
_cell_angle_gamma 120.00
_space_group_name_H-M_alt 'P 1'
_space_group_IT_number 1
loop_
_space_group_symop_operation_xyz
'x,y,z'
loop_
_atom_site_label
_atom_site_type_symbol
_atom_site_fract_x
_atom_site_fract_y
_atom_site_fract_z
Tm1 Tm 0.0000 0.0000 0.0000
Be1 Be 0.3333 0.6667 0.0000
Be2 Be 0.6667 0.3333 0.0000
Fe1 Fe 0.0000 0.5000 0.5000
Fe2 Fe 0.5000 0.0000 0.5000
Fe3 Fe 0.5000 0.5000 0.5000
```